1.
Entry from Alexandria: a relaxed Ba6CuRh2 crystal (PBE). Values from VASP.

total magnetization: 0.000 Bohr magnetons per cell
crystal system: monoclinic
energy of formation: -1.12 eV per formula unit

Cell and atoms, written as Quantum ESPRESSO input:
```
&SYSTEM
  ibrav = 0, nat = 9, ntyp = 3
/
ATOMIC_SPECIES
Ba 137.33 Ba.upf
Cu 63.55 Cu.upf
Rh 102.91 Rh.upf
CELL_PARAMETERS angstrom
9.839 -2.306 0.000
9.839 2.306 0.000
-1.949 0.000 8.938
ATOMIC_POSITIONS angstrom
Ba -0.332 0.000 2.228
Ba 5.614 0.000 3.886
Ba 4.788 0.000 8.006
Ba 12.942 0.000 0.932
Ba 12.116 0.000 5.052
Ba 18.062 0.000 6.710
Cu 9.839 0.000 0.000
Rh 2.559 0.000 2.900
Rh 15.171 0.000 6.038
```

---

2.
Entry from Alexandria: a relaxed NdMg2ZnAg2 crystal (PBE). Values from VASP.

total magnetization: 0.000 Bohr magnetons per cell
crystal system: tetragonal
energy of formation: 0.46 eV per formula unit

Cell and atoms, written as Quantum ESPRESSO input:
```
&SYSTEM
  ibrav = 0, nat = 6, ntyp = 4
/
ATOMIC_SPECIES
Nd 144.24 Nd.upf
Mg 24.30 Mg.upf
Zn 65.41 Zn.upf
Ag 107.87 Ag.upf
CELL_PARAMETERS angstrom
-2.604 2.604 5.607
2.604 -2.604 5.607
2.604 2.604 -5.607
ATOMIC_POSITIONS angstrom
Nd 0.000 0.000 0.000
Mg 2.604 0.000 2.803
Mg 0.000 2.604 2.803
Zn 0.000 0.000 5.607
Ag 0.000 0.000 3.123
Ag 0.000 0.000 8.091
```

---

3.
Entry from Alexandria: a relaxed BeCo2H crystal (PBE). Values from VASP.

total magnetization: 1.664 Bohr magnetons per cell
crystal system: cubic
uncorrected energy: -20.05 eV/cell

Cell and atoms, written as Quantum ESPRESSO input:
```
&SYSTEM
  ibrav = 0, nat = 4, ntyp = 3
/
ATOMIC_SPECIES
Be 9.01 Be.upf
Co 58.93 Co.upf
H 1.01 H.upf
CELL_PARAMETERS angstrom
0.000 2.521 2.521
2.521 0.000 2.521
2.521 2.521 0.000
ATOMIC_POSITIONS angstrom
Be 0.000 0.000 0.000
Co 1.261 1.261 1.261
Co 3.782 3.782 3.782
H 2.521 2.521 2.521
```

---

4.
Entry from Alexandria: a relaxed YTa2Zn crystal (PBE). Values from VASP.

total magnetization: 0.000 Bohr magnetons per cell
crystal system: orthorhombic
energy of formation: 0.82 eV per formula unit

Cell and atoms, written as Quantum ESPRESSO input:
```
&SYSTEM
  ibrav = 0, nat = 4, ntyp = 3
/
ATOMIC_SPECIES
Y 88.91 Y.upf
Ta 180.95 Ta.upf
Zn 65.41 Zn.upf
CELL_PARAMETERS angstrom
-1.645 2.365 5.142
1.645 -2.365 5.142
1.645 2.365 -5.142
ATOMIC_POSITIONS angstrom
Y 0.000 0.000 0.000
Ta 1.645 0.000 2.767
Ta 0.000 2.365 2.375
Zn 0.000 0.000 5.142
```

---

5.
Entry from Alexandria: a relaxed PdPbI crystal (PBE). Values from VASP.

total magnetization: 0.000 Bohr magnetons per cell
crystal system: trigonal
formation energy without anion corrections: -0.212 eV per atom

Cell and atoms, written as Quantum ESPRESSO input:
```
&SYSTEM
  ibrav = 0, nat = 3, ntyp = 3
/
ATOMIC_SPECIES
Pd 106.42 Pd.upf
Pb 207.20 Pb.upf
I 126.90 I.upf
CELL_PARAMETERS angstrom
4.205 0.000 0.000
-2.102 3.641 0.000
0.000 0.000 5.620
ATOMIC_POSITIONS angstrom
Pd 0.000 0.000 0.000
Pb 0.000 2.428 1.381
I 2.102 1.214 4.114
```

---

6.
Entry from Alexandria: a relaxed Tl2TcSe crystal (PBE). Values from VASP.

total magnetization: 0.130 Bohr magnetons per cell
crystal system: tetragonal
formation energy without anion corrections: 0.632 eV per atom

Cell and atoms, written as Quantum ESPRESSO input:
```
&SYSTEM
  ibrav = 0, nat = 4, ntyp = 3
/
ATOMIC_SPECIES
Tl 204.38 Tl.upf
Tc 98.00 Tc.upf
Se 78.96 Se.upf
CELL_PARAMETERS angstrom
3.668 0.000 0.000
0.000 3.668 0.000
0.000 0.000 6.339
ATOMIC_POSITIONS angstrom
Tl 0.000 0.000 1.485
Tl 0.000 0.000 4.854
Tc 1.834 1.834 0.000
Se 1.834 1.834 3.170
```

---

7.
Entry from Alexandria: a relaxed BaHg3Te3 crystal (PBE). Values from VASP.

total magnetization: 0.000 Bohr magnetons per cell
crystal system: cubic
formation energy without anion corrections: -0.174 eV per atom

Cell and atoms, written as Quantum ESPRESSO input:
```
&SYSTEM
  ibrav = 0, nat = 14, ntyp = 3
/
ATOMIC_SPECIES
Ba 137.33 Ba.upf
Hg 200.59 Hg.upf
Te 127.60 Te.upf
CELL_PARAMETERS angstrom
8.281 0.000 0.000
0.000 8.281 0.000
0.000 0.000 8.281
ATOMIC_POSITIONS angstrom
Ba 0.000 0.000 0.000
Ba 4.141 4.141 4.141
Hg 0.000 2.070 4.141
Hg 0.000 6.211 4.141
Hg 2.070 4.141 0.000
Hg 4.141 0.000 2.070
Hg 4.141 0.000 6.211
Hg 6.211 4.141 0.000
Te 0.000 4.141 2.070
Te 0.000 4.141 6.211
Te 2.070 0.000 4.141
Te 4.141 2.070 0.000
Te 4.141 6.211 0.000
Te 6.211 0.000 4.141
```

---

8.
Entry from Alexandria: a relaxed ReHgSbH2 crystal (PBE). Values from VASP.

total magnetization: 1.075 Bohr magnetons per cell
crystal system: tetragonal
uncorrected energy: -19.00 eV/cell

Cell and atoms, written as Quantum ESPRESSO input:
```
&SYSTEM
  ibrav = 0, nat = 5, ntyp = 4
/
ATOMIC_SPECIES
Re 186.21 Re.upf
Hg 200.59 Hg.upf
Sb 121.76 Sb.upf
H 1.01 H.upf
CELL_PARAMETERS angstrom
3.729 0.000 0.000
0.000 3.729 0.000
0.000 0.000 5.882
ATOMIC_POSITIONS angstrom
Re 0.000 0.000 0.000
Hg 0.000 0.000 2.941
Sb 1.864 1.864 0.000
H 0.000 1.864 2.941
H 1.864 0.000 2.941
```

---

9.
Entry from Alexandria: a relaxed Rb4AcPa3O12 crystal (PBE). Values from VASP.

total magnetization: 0.000 Bohr magnetons per cell
crystal system: cubic
formation energy without anion corrections: -2.819 eV per atom

Cell and atoms, written as Quantum ESPRESSO input:
```
&SYSTEM
  ibrav = 0, nat = 20, ntyp = 4
/
ATOMIC_SPECIES
Rb 85.47 Rb.upf
Ac 227.00 Ac.upf
Pa 231.04 Pa.upf
O 16.00 O.upf
CELL_PARAMETERS angstrom
-4.499 4.499 4.499
4.499 -4.499 4.499
4.499 4.499 -4.499
ATOMIC_POSITIONS angstrom
Rb 2.250 2.250 -2.250
Rb 2.250 -2.250 2.250
Rb -2.250 2.250 2.250
Rb 2.250 2.250 2.250
Ac 0.000 0.000 0.000
Pa 4.499 0.000 0.000
Pa 0.000 4.499 0.000
Pa 0.000 0.000 4.499
O 2.436 0.000 0.000
O 6.562 0.000 0.000
O 4.499 2.250 0.000
O 4.499 0.000 2.250
O 0.000 2.436 0.000
O 0.000 0.000 2.436
O 2.250 4.499 0.000
O 2.250 0.000 4.499
O 0.000 6.562 0.000
O 0.000 0.000 6.562
O 0.000 4.499 2.250
O 0.000 2.250 4.499
```

---

10.
Entry from Alexandria: a relaxed Ga2Hg4I3 crystal (PBE). Values from VASP.

total magnetization: 0.000 Bohr magnetons per cell
crystal system: monoclinic
formation energy without anion corrections: -0.191 eV per atom

Cell and atoms, written as Quantum ESPRESSO input:
```
&SYSTEM
  ibrav = 0, nat = 9, ntyp = 3
/
ATOMIC_SPECIES
Ga 69.72 Ga.upf
Hg 200.59 Hg.upf
I 126.90 I.upf
CELL_PARAMETERS angstrom
6.887 -2.237 0.000
6.887 2.237 0.000
-5.046 0.000 9.758
ATOMIC_POSITIONS angstrom
Ga -0.190 0.000 3.160
Ga 8.919 0.000 6.599
Hg 4.315 0.000 0.446
Hg 4.674 0.000 3.415
Hg 4.054 0.000 6.344
Hg 4.413 0.000 9.312
I 0.000 0.000 0.000
I -0.062 0.000 6.439
I 8.791 0.000 3.319
```

---

11.
Entry from Alexandria: a relaxed BeRe2Au crystal (PBE). Values from VASP.

total magnetization: 0.000 Bohr magnetons per cell
crystal system: tetragonal
energy of formation: 1.81 eV per formula unit

Cell and atoms, written as Quantum ESPRESSO input:
```
&SYSTEM
  ibrav = 0, nat = 4, ntyp = 3
/
ATOMIC_SPECIES
Be 9.01 Be.upf
Re 186.21 Re.upf
Au 196.97 Au.upf
CELL_PARAMETERS angstrom
3.681 0.000 0.000
0.000 3.681 0.000
0.000 0.000 4.283
ATOMIC_POSITIONS angstrom
Be 0.000 0.000 0.000
Re 0.000 1.841 2.141
Re 1.841 0.000 2.141
Au 1.841 1.841 0.000
```

---

12.
Entry from Alexandria: a relaxed La2Te3 crystal (PBE). Values from VASP.

total magnetization: 0.000 Bohr magnetons per cell
crystal system: tetragonal
formation energy without anion corrections: -1.425 eV per atom

Cell and atoms, written as Quantum ESPRESSO input:
```
&SYSTEM
  ibrav = 0, nat = 5, ntyp = 2
/
ATOMIC_SPECIES
La 138.91 La.upf
Te 127.60 Te.upf
CELL_PARAMETERS angstrom
-2.081 2.081 9.228
2.081 -2.081 9.228
2.081 2.081 -9.228
ATOMIC_POSITIONS angstrom
La 0.000 0.000 2.193
La 0.000 0.000 16.263
Te 0.000 0.000 5.631
Te 0.000 0.000 9.228
Te 0.000 0.000 12.824
```

---

13.
Entry from Alexandria: a relaxed NpUFe crystal (PBE). Values from VASP.

total magnetization: 0.000 Bohr magnetons per cell
crystal system: monoclinic
energy of formation: -0.03 eV per formula unit

Cell and atoms, written as Quantum ESPRESSO input:
```
&SYSTEM
  ibrav = 0, nat = 12, ntyp = 3
/
ATOMIC_SPECIES
Np 237.00 Np.upf
U 238.03 U.upf
Fe 55.84 Fe.upf
CELL_PARAMETERS angstrom
6.487 0.000 0.000
0.000 6.199 0.000
-0.148 0.000 5.144
ATOMIC_POSITIONS angstrom
Np 0.533 0.538 1.676
Np 0.459 2.562 4.248
Np 5.880 3.637 0.896
Np 5.806 5.661 3.468
U 1.669 3.594 2.043
U 1.595 5.705 4.615
U 4.744 0.494 0.529
U 4.670 2.605 3.101
Fe 2.981 1.229 2.947
Fe 3.055 1.871 0.375
Fe 3.284 4.328 4.769
Fe 3.358 4.970 2.197
```

---

14.
Entry from Alexandria: a relaxed Ac9Ni2Pt4 crystal (PBE). Values from VASP.

total magnetization: 0.000 Bohr magnetons per cell
crystal system: monoclinic
energy of formation: -10.42 eV per formula unit

Cell and atoms, written as Quantum ESPRESSO input:
```
&SYSTEM
  ibrav = 0, nat = 30, ntyp = 3
/
ATOMIC_SPECIES
Ac 227.00 Ac.upf
Ni 58.69 Ni.upf
Pt 195.08 Pt.upf
CELL_PARAMETERS angstrom
6.568 -3.792 0.000
6.568 3.792 0.000
-0.001 0.000 21.052
ATOMIC_POSITIONS angstrom
Ac 4.412 1.355 12.293
Ac 6.470 2.547 1.768
Ac 4.315 1.187 19.284
Ac 6.665 2.547 8.758
Ac 4.521 1.185 5.264
Ac 6.567 2.363 15.789
Ac 4.315 -1.187 8.758
Ac 8.722 1.355 19.286
Ac 4.521 -1.185 15.790
Ac 8.614 1.185 5.262
Ac 4.413 -1.355 1.767
Ac 8.820 1.187 12.294
Ac 6.568 -2.363 5.263
Ac 8.614 -1.185 15.788
Ac 6.470 -2.547 12.294
Ac 8.820 -1.187 1.768
Ac 6.665 -2.547 19.284
Ac 8.723 -1.355 8.759
Ni 6.568 0.004 3.405
Ni 6.568 0.004 7.121
Ni 6.567 -0.004 13.931
Ni 6.567 -0.004 17.647
Pt 2.189 0.003 6.864
Pt 2.188 -0.003 17.390
Pt 2.188 0.000 0.140
Pt 2.188 0.000 10.666
Pt 10.947 0.000 10.386
Pt 10.947 0.000 20.912
Pt 10.947 0.003 3.662
Pt 10.946 -0.003 14.188
```

---

15.
Entry from Alexandria: a relaxed BaNaErCl6 crystal (PBE). Values from VASP.

total magnetization: 0.000 Bohr magnetons per cell
crystal system: trigonal
formation energy without anion corrections: -2.265 eV per atom

Cell and atoms, written as Quantum ESPRESSO input:
```
&SYSTEM
  ibrav = 0, nat = 18, ntyp = 4
/
ATOMIC_SPECIES
Ba 137.33 Ba.upf
Na 22.99 Na.upf
Er 167.26 Er.upf
Cl 35.45 Cl.upf
CELL_PARAMETERS angstrom
7.102 0.000 0.000
-3.551 6.150 0.000
0.000 0.000 13.195
ATOMIC_POSITIONS angstrom
Ba 0.000 0.000 0.000
Ba 0.000 0.000 6.597
Na 0.000 4.100 3.299
Na 3.551 2.050 9.896
Er 0.000 4.100 9.896
Er 3.551 2.050 3.299
Cl -1.159 2.274 8.396
Cl -2.161 4.009 11.396
Cl 1.159 2.274 11.396
Cl -1.002 6.017 8.396
Cl 2.549 0.133 1.799
Cl 1.390 2.141 4.799
Cl 2.161 4.009 8.396
Cl 1.002 6.017 11.396
Cl 4.553 0.133 4.799
Cl 2.391 3.876 1.799
Cl 5.712 2.141 1.799
Cl 4.710 3.876 4.799
```

---

16.
Entry from Alexandria: a relaxed LiHo5Au6 crystal (PBE). Values from VASP.

total magnetization: 0.000 Bohr magnetons per cell
crystal system: monoclinic
energy of formation: -9.71 eV per formula unit

Cell and atoms, written as Quantum ESPRESSO input:
```
&SYSTEM
  ibrav = 0, nat = 12, ntyp = 3
/
ATOMIC_SPECIES
Li 6.94 Li.upf
Ho 164.93 Ho.upf
Au 196.97 Au.upf
CELL_PARAMETERS angstrom
4.349 -7.513 0.000
4.349 7.513 0.000
-2.842 0.000 4.095
ATOMIC_POSITIONS angstrom
Li 0.000 0.000 0.000
Ho 2.929 5.151 2.048
Ho 4.349 2.538 0.000
Ho 2.929 0.000 2.048
Ho 4.349 -2.538 0.000
Ho 2.929 -5.151 2.048
Au 1.509 2.581 1.058
Au 0.098 0.000 3.123
Au 1.509 -2.581 1.058
Au 4.348 2.581 3.037
Au 5.759 0.000 0.972
Au 4.348 -2.581 3.037
```

---

17.
Entry from Alexandria: a relaxed Pm6Dy2Y3Mg crystal (PBE). Values from VASP.

total magnetization: 0.000 Bohr magnetons per cell
crystal system: monoclinic
energy of formation: 0.24 eV per formula unit

Cell and atoms, written as Quantum ESPRESSO input:
```
&SYSTEM
  ibrav = 0, nat = 12, ntyp = 4
/
ATOMIC_SPECIES
Pm 145.00 Pm.upf
Dy 162.50 Dy.upf
Y 88.91 Y.upf
Mg 24.30 Mg.upf
CELL_PARAMETERS angstrom
3.112 -5.393 0.000
3.112 5.393 0.000
-2.081 0.000 11.597
ATOMIC_POSITIONS angstrom
Pm 1.030 1.794 2.871
Pm -0.002 0.000 8.714
Pm 1.030 -1.794 2.871
Pm 3.114 1.794 8.726
Pm 4.146 0.000 2.883
Pm 3.114 -1.794 8.726
Dy 3.112 1.797 0.000
Dy 3.112 -1.797 0.000
Y 2.072 3.600 5.798
Y 2.072 0.000 5.798
Y 2.072 -3.600 5.798
Mg 0.000 0.000 0.000
```

---

18.
Entry from Alexandria: a relaxed Ir7Rh5 crystal (PBE). Values from VASP.

total magnetization: 0.000 Bohr magnetons per cell
crystal system: monoclinic
energy of formation: 0.13 eV per formula unit

Cell and atoms, written as Quantum ESPRESSO input:
```
&SYSTEM
  ibrav = 0, nat = 12, ntyp = 2
/
ATOMIC_SPECIES
Ir 192.22 Ir.upf
Rh 102.91 Rh.upf
CELL_PARAMETERS angstrom
7.097 -1.368 0.000
7.097 1.368 0.000
-4.715 0.000 8.900
ATOMIC_POSITIONS angstrom
Ir 0.000 0.000 0.000
Ir -1.578 0.000 6.666
Ir 0.023 0.000 4.450
Ir 3.180 0.000 6.678
Ir 6.298 0.000 2.223
Ir 9.456 0.000 4.450
Ir 11.056 0.000 2.234
Rh 1.594 0.000 2.227
Rh 4.733 0.000 0.021
Rh 4.739 0.000 4.450
Rh 4.745 0.000 8.879
Rh 7.884 0.000 6.673
```

---

19.
Entry from Alexandria: a relaxed NdEr2Sb crystal (PBE). Values from VASP.

total magnetization: 0.000 Bohr magnetons per cell
crystal system: tetragonal
formation energy without anion corrections: -0.478 eV per atom

Cell and atoms, written as Quantum ESPRESSO input:
```
&SYSTEM
  ibrav = 0, nat = 4, ntyp = 3
/
ATOMIC_SPECIES
Nd 144.24 Nd.upf
Er 167.26 Er.upf
Sb 121.76 Sb.upf
CELL_PARAMETERS angstrom
4.837 0.000 0.000
0.000 4.837 0.000
0.000 0.000 4.758
ATOMIC_POSITIONS angstrom
Nd 0.000 0.000 0.000
Er 0.000 2.418 2.379
Er 2.418 0.000 2.379
Sb 2.418 2.418 0.000
```

---

20.
Entry from Alexandria: a relaxed LiGdBiIr crystal (PBE). Values from VASP.

total magnetization: 7.062 Bohr magnetons per cell
crystal system: cubic
energy of formation: -2.18 eV per formula unit

Cell and atoms, written as Quantum ESPRESSO input:
```
&SYSTEM
  ibrav = 0, nat = 4, ntyp = 4
/
ATOMIC_SPECIES
Li 6.94 Li.upf
Gd 157.25 Gd.upf
Bi 208.98 Bi.upf
Ir 192.22 Ir.upf
CELL_PARAMETERS angstrom
0.000 3.419 3.419
3.419 0.000 3.419
3.419 3.419 0.000
ATOMIC_POSITIONS angstrom
Li 0.000 0.000 0.000
Gd 1.709 1.709 1.709
Bi 5.128 5.128 5.128
Ir 3.419 3.419 3.419
```

---

Density values, unit g cm⁻³, following the record order: 4.48 5.17 6.63 10.72 8.50 11.40 6.56 10.37 6.63 7.30 16.55 6.86 17.05 9.31 3.11 12.49 6.34 17.88 8.96 11.75.